No. 1
DFT (PBE) results for a relaxed structure of PrSn2Br8.

a = 8.0805 Å, b = 8.0484 Å, c = 8.0484 Å
α = 70.63°, β = 73.68°, γ = 73.68°
Last column: nearest neighbours and their distance in Å.
Fractional positions:
Pr 0.0000 0.0000 0.0000  6 Br 2.94
Sn 0.8097 0.6541 0.6541  4 Br 2.67-2.87
Sn 0.1903 0.3459 0.3459  4 Br 2.67-2.87
Br 0.7571 0.9640 0.3526  1 Sn 2.87, 1 Pr 2.94
Br 0.2429 0.6474 0.0360  1 Sn 2.87, 1 Pr 2.94
Br 0.7534 0.8798 0.8798  1 Sn 2.84, 1 Pr 2.94
Br 0.2466 0.1202 0.1202  1 Sn 2.84, 1 Pr 2.94
Br 0.7571 0.3526 0.9640  1 Sn 2.87, 1 Pr 2.94
Br 0.2429 0.0360 0.6474  1 Sn 2.87, 1 Pr 2.94
Br 0.1617 0.5815 0.5815  1 Sn 2.67
Br 0.8383 0.4185 0.4185  1 Sn 2.67

Summary:
For the formation energy (no corrections), the calculation gives -1.0491 eV per atom. The magnetization comes out at 0.000 μB/atom. Its space group is No. 12. For the volume, the calculation gives 42.14 A^3/atom. For the relative energy among the computed polymorphs, the calculation gives 0.00 eV/f.u. The value obtained for the density of states at the Fermi level is 6.74 states/eV/f.u.

No. 2
DFT (PBE) results for a relaxed structure of Pr3Sn2Br.

a = 4.4873 Å, b = 6.3569 Å, c = 7.8653 Å
α = 113.84°, β = 106.57°, γ = 90.00°
Last column: nearest neighbours and their distance in Å.
Fractional positions:
Pr 0.8286 0.3286 0.1572  4 Sn 3.18, 2 Br 3.24
Pr 0.1714 0.6714 0.8428  4 Sn 3.18, 2 Br 3.24
Pr 0.5000 0.0000 0.5000  4 Sn 3.17, 2 Br 3.18
Sn 0.8358 0.8358 0.1717  6 Pr 3.17-3.18
Sn 0.1642 0.1642 0.8283  6 Pr 3.17-3.18
Br 0.5000 0.5000 0.5000  6 Pr 3.18-3.24

Summary:
For the formation energy (no corrections), the calculation gives -0.9511 eV per atom. The magnetization comes out at 0.000 μB/atom. Its space group is No. 71. For the volume, the calculation gives 32.50 A^3/atom. The value obtained for the density of states at the Fermi level is 1.65 states/eV/f.u.